# 1
Density functional theory data (PBE-GGA) for a relaxed structure of SrScRh.

Structure (extended XYZ):
```
3
Lattice="7.038 0.007 -0.008 6.212 3.307 0.000 0.826 0.198 3.294" Properties=species:S:1:pos:R:3 pbc="T T T"
Rh 12.952 3.240 0.071
Sc 5.578 1.390 2.031
Sr 8.796 2.198 1.176
```

Output
Energy relative to the lowest polymorph listed for this composition (meV per atom): 0
N(E_F) (states/eV/atom): 0.46
Crystal system: tetragonal
Formation energy from the elements (eV per atom): -0.3836
Density (g/cm³): 5.1

---

# 2
Density functional theory data (PBE-GGA) for a relaxed structure of TcSn2Se2.

Structure (extended XYZ):
```
10
Lattice="-1.290 6.139 -0.949 -6.171 -1.377 -0.521 -0.671 0.773 5.912" Properties=species:S:1:pos:R:3 pbc="T T T"
Sn -5.648 1.119 2.257
Sn -5.695 4.322 1.833
Sn -2.484 4.416 2.185
Sn -2.438 1.213 2.609
Se -5.720 0.993 -0.779
Se -5.093 4.346 -1.147
Se -1.741 3.769 -0.691
Se -2.368 0.416 -0.323
Tc 0.000 0.000 0.000
Tc -3.731 2.381 -0.735
```

Output
Energy relative to the lowest polymorph listed for this composition (meV per atom): 0
N(E_F) (states/eV/atom): 0.81
Formation energy from raw total energies (eV/f.u.): 0.69
Crystal system: tetragonal
Density (g/cm³): 6.8

---

# 3
Density functional theory data (PBE-GGA) for a relaxed structure of MgTl2InCu.

Structure (extended XYZ):
```
5
Lattice="5.540 0.000 0.000 0.000 5.510 0.000 0.000 0.000 5.540" Properties=species:S:1:pos:R:3 pbc="T T T"
Tl 0.000 0.000 2.770
Tl 2.770 0.000 0.000
Mg 0.000 0.000 0.000
Cu 2.770 2.755 2.770
In 0.000 2.755 0.000
```

Output
N(E_F) (states/eV/atom): 0.57
Crystal system: tetragonal
Formation energy from the elements (eV per atom): 0.6414
Density (g/cm³): 6.0

---

# 4
Density functional theory data (PBE-GGA) for a relaxed structure of Na3Pu3SnS8.

Structure (extended XYZ):
```
15
Lattice="8.036 0.000 0.000 -4.018 6.959 -0.025 0.000 -4.615 6.636" Properties=species:S:1:pos:R:3 pbc="T T T"
Na 0.000 0.000 0.000
Na -2.009 3.479 -0.012
Na 2.009 3.479 -0.012
Pu 4.018 -2.308 3.318
Pu 2.009 1.172 3.305
Pu -2.009 1.172 3.305
Sn 0.000 -2.308 3.318
S 0.000 2.326 1.815
S 4.018 0.017 4.795
S 4.018 2.358 1.857
S 0.000 -0.014 4.754
S 6.054 -1.170 1.870
S -2.036 3.513 4.741
S 1.982 -1.170 1.870
S 2.036 3.513 4.741
```

Output
N(E_F) (states/eV/atom): 1.85
Formation energy from raw total energies (eV/f.u.): -19.61
Crystal system: trigonal
Density (g/cm³): 5.3

---

# 5
Density functional theory data (PBE-GGA) for a relaxed structure of YRh2Pb2.

Structure (extended XYZ):
```
5
Lattice="4.819 0.013 -0.008 2.398 4.180 -0.008 0.008 0.005 5.622" Properties=species:S:1:pos:R:3 pbc="T T T"
Y 2.409 0.007 -0.004
Rh 4.817 1.405 0.916
Rh 2.408 2.793 4.691
Pb 4.820 1.407 3.707
Pb 2.405 2.791 1.899
```

Output
Energy relative to the lowest polymorph listed for this composition (meV per atom): 0
N(E_F) (states/eV/atom): 0.50
Crystal system: trigonal
Formation energy from the elements (eV per atom): -0.4042
Density (g/cm³): 10.4

---

# 6
Density functional theory data (PBE-GGA) for a relaxed structure of PmTc2.

Structure (extended XYZ):
```
12
Lattice="-3.166 -4.065 1.870 4.957 0.840 2.184 -3.561 5.515 5.961" Properties=species:S:1:pos:R:3 pbc="T T T"
Pm 2.025 -0.448 2.454
Pm -2.463 0.674 5.330
Pm -3.796 2.738 7.560
Pm 0.692 1.615 4.685
Tc 0.000 0.000 0.000
Tc -1.781 2.757 2.980
Tc -0.250 -1.440 4.480
Tc -1.520 3.729 5.535
Tc -1.125 0.135 2.501
Tc -2.670 -1.850 3.414
Tc 0.900 4.139 6.601
Tc -0.646 2.155 7.514
```

Output
Energy relative to the lowest polymorph listed for this composition (meV per atom): 0
N(E_F) (states/eV/atom): 0.95
Crystal system: hexagonal
Formation energy from the elements (eV per atom): -0.0247
Density (g/cm³): 9.8

---

# 7
Density functional theory data (PBE-GGA) for a relaxed structure of Na2HoErO4.

Structure (extended XYZ):
```
8
Lattice="3.398 0.000 0.000 0.000 5.885 0.102 0.000 -2.057 5.536" Properties=species:S:1:pos:R:3 pbc="T T T"
Na 1.699 -1.028 2.768
Na 0.000 1.914 2.819
Ho 1.699 2.942 0.051
Er 0.000 0.000 0.000
O 1.699 0.954 1.185
O 1.699 2.874 4.453
O 0.000 -0.081 4.401
O 0.000 3.909 1.238
```

Output
N(E_F) (states/eV/atom): 0.00
Formation energy from raw total energies (eV/f.u.): -22.65
Crystal system: monoclinic
Density (g/cm³): 6.6

---

# 8
Density functional theory data (PBE-GGA) for a relaxed structure of H4RhBr2.

Structure (extended XYZ):
```
7
Lattice="3.531 0.000 0.000 0.000 3.531 0.000 1.766 1.766 9.202" Properties=species:S:1:pos:R:3 pbc="T T T"
H 3.531 3.531 4.829
H 1.766 1.766 4.372
H 0.000 1.766 0.000
H 1.766 0.000 0.000
Rh 0.000 0.000 0.000
Br 3.531 3.531 6.273
Br 1.766 1.766 2.929
```

Output
N(E_F) (states/eV/atom): 0.25
Electronic total energy (eV per atom): -3.171
Crystal system: tetragonal
Density (g/cm³): 3.9

---

# 9
Density functional theory data (PBE-GGA) for a relaxed structure of Be2MoRu.

Structure (extended XYZ):
```
4
Lattice="-2.289 -1.340 1.064 -0.102 -1.667 -2.319 3.456 -3.836 2.606" Properties=species:S:1:pos:R:3 pbc="T T T"
Ru 1.510 -4.507 1.413
Mo 1.714 -1.903 1.293
Be 0.051 -0.057 0.039
Be -0.483 -2.294 -0.090
```

Output
Energy relative to the lowest polymorph listed for this composition (meV per atom): 140
N(E_F) (states/eV/atom): 0.52
Crystal system: tetragonal
Formation energy from the elements (eV per atom): -0.0522
Density (g/cm³): 7.6

---

# 10
Density functional theory data (PBE-GGA) for a relaxed structure of CrCo3Ni.

Structure (extended XYZ):
```
10
Lattice="3.471 1.916 -2.447 2.301 8.200 -0.185 0.065 0.085 4.718" Properties=species:S:1:pos:R:3 pbc="T T T"
Cr 2.880 8.397 0.960
Cr 3.567 4.205 -1.329
Co 1.665 3.328 -0.108
Co 4.781 9.274 -0.261
Co 3.674 7.065 -1.385
Co 4.813 9.315 2.097
Co 1.699 3.372 2.252
Co 2.773 5.536 1.016
Ni 3.841 3.202 1.044
Ni 4.991 7.301 0.951
```

Output
Energy relative to the lowest polymorph listed for this composition (meV per atom): 219
N(E_F) (states/eV/atom): 1.31
Crystal system: monoclinic
Formation energy from the elements (eV per atom): 0.2683
Density (g/cm³): 8.4

---

# 11
Density functional theory data (PBE-GGA) for a relaxed structure of LaYTmAg.

Structure (extended XYZ):
```
4
Lattice="3.637 0.000 0.000 0.000 3.637 0.000 0.000 0.000 8.772" Properties=species:S:1:pos:R:3 pbc="T T T"
La 0.000 0.000 0.666
Y 1.819 1.819 6.798
Tm 1.819 1.819 3.246
Ag 0.000 0.000 4.946
```

Output
N(E_F) (states/eV/atom): 1.44
Crystal system: tetragonal
Formation energy from the elements (eV per atom): -0.1312
Density (g/cm³): 7.2

---

# 12
Density functional theory data (PBE-GGA) for a relaxed structure of LiZrTe4.

Structure (extended XYZ):
```
12
Lattice="7.180 0.000 0.025 0.000 7.165 0.000 -0.080 0.000 7.046" Properties=species:S:1:pos:R:3 pbc="T T T"
Li 3.550 0.000 3.536
Li -0.040 3.582 3.523
Zr 0.000 0.000 0.000
Zr 3.590 3.582 0.013
Te 6.214 4.516 0.763
Te 4.476 0.934 6.321
Te 2.741 2.788 2.712
Te 0.769 6.370 4.346
Te 0.886 2.648 6.308
Te 2.624 6.230 0.750
Te 4.359 4.376 4.359
Te 6.331 0.794 2.725
```

Output
Energy relative to the lowest polymorph listed for this composition (meV per atom): 0
N(E_F) (states/eV/atom): 0.62
Formation energy from raw total energies (eV/f.u.): -3.41
Crystal system: monoclinic
Density (g/cm³): 5.6